! Li2GaPdF6 | Alexandria via LeMat-Bulk | GGA-PBE | relaxed; values from VASP
&SYSTEM
  ibrav = 0, nat = 10, ntyp = 4
/
ATOMIC_SPECIES
Li 6.94 Li.upf
Ga 69.72 Ga.upf
Pd 106.42 Pd.upf
F 19.00 F.upf
CELL_PARAMETERS angstrom
-3.9965 2.5590 3.2515
-4.3276 -2.6179 0.4491
-1.2298 -1.5507 5.5135
ATOMIC_POSITIONS crystal
Li 0.5541 0.6661 0.2940
Li 0.0780 0.9660 0.8096
Ga 0.3162 0.3161 0.0516
Pd 0.8161 0.8162 0.5515
F 0.4733 0.4191 0.1991
F 0.1831 0.0113 0.4002
F 0.9614 0.6264 0.1897
F 0.4491 0.6212 0.7028
F 0.6709 0.0059 0.9132
F 0.1594 0.2133 0.9035
! E_form (uncorrected) in eV/atom: -2.307
! Spin magnetization in μB per formula unit: 1.0

***

! Li2PmGaF8 | Alexandria via LeMat-Bulk | GGA-PBE | relaxed; values from VASP
&SYSTEM
  ibrav = 0, nat = 12, ntyp = 4
/
ATOMIC_SPECIES
Li 6.94 Li.upf
Pm 145.00 Pm.upf
Ga 69.72 Ga.upf
F 19.00 F.upf
CELL_PARAMETERS angstrom
-3.5045 2.6683 1.3920
-2.6361 -1.0531 -3.9028
-3.0511 -5.3643 3.0372
ATOMIC_POSITIONS crystal
Li 0.5276 0.5284 0.7925
Li 0.4724 0.4716 0.2075
Pm 0.0000 0.0000 0.5000
Ga 0.0000 0.0000 0.0000
F 0.1820 0.7871 0.2209
F 0.7095 0.7349 0.0064
F 0.8099 0.2003 0.2095
F 0.8180 0.2129 0.7791
F 0.2905 0.2651 0.9936
F 0.1901 0.7997 0.7905
F 0.6484 0.7082 0.5405
F 0.3516 0.2918 0.4595
! E_form (uncorrected) in eV/atom: -3.165
! Spin magnetization in μB per formula unit: 0.0

***

! Li2PuGaF8 | Alexandria via LeMat-Bulk | GGA-PBE | relaxed; values from VASP
&SYSTEM
  ibrav = 0, nat = 12, ntyp = 4
/
ATOMIC_SPECIES
Li 6.94 Li.upf
Pu 244.00 Pu.upf
Ga 69.72 Ga.upf
F 19.00 F.upf
CELL_PARAMETERS angstrom
-4.4053 -1.3352 -0.7267
0.7504 -0.5994 -4.6871
1.9199 -6.5213 1.5186
ATOMIC_POSITIONS crystal
Li 0.4709 0.4701 0.7996
Li 0.5291 0.5299 0.2004
Pu 0.0000 0.0000 0.5000
Ga 0.0000 0.0000 0.0000
F 0.1944 0.8032 0.2079
F 0.7134 0.7287 0.9922
F 0.8137 0.2091 0.2157
F 0.8056 0.1968 0.7921
F 0.2866 0.2713 0.0078
F 0.1863 0.7909 0.7843
F 0.6593 0.6995 0.4524
F 0.3407 0.3005 0.5476
! E_form (uncorrected) in eV/atom: -3.021
! Spin magnetization in μB per formula unit: 5.0

***

! Rb2LiGaF6 | Alexandria via LeMat-Bulk | GGA-PBE | relaxed; values from VASP
&SYSTEM
  ibrav = 0, nat = 20, ntyp = 4
/
ATOMIC_SPECIES
Rb 85.47 Rb.upf
Li 6.94 Li.upf
Ga 69.72 Ga.upf
F 19.00 F.upf
CELL_PARAMETERS angstrom
-2.6357 -8.8961 -4.3812
-1.0826 -10.1283 1.2361
-6.4963 -7.9422 0.0539
ATOMIC_POSITIONS crystal
Rb 0.7170 0.7170 0.7170
Rb 0.2830 0.2830 0.2830
Rb 0.8726 0.8726 0.8726
Rb 0.1274 0.1274 0.1274
Li 0.4039 0.4039 0.4039
Li 0.5961 0.5961 0.5961
Ga 0.5000 0.5000 0.5000
Ga 0.0000 0.0000 0.0000
F 0.1934 0.7274 0.1934
F 0.8066 0.2726 0.8066
F 0.1934 0.1934 0.7274
F 0.7274 0.1934 0.1934
F 0.8066 0.8066 0.2726
F 0.2726 0.8066 0.8066
F 0.1644 0.6069 0.6069
F 0.6069 0.6069 0.1644
F 0.6069 0.1644 0.6069
F 0.3931 0.8356 0.3931
F 0.8356 0.3931 0.3931
F 0.3931 0.3931 0.8356
! E_form (uncorrected) in eV/atom: -2.839
! Spin magnetization in μB per formula unit: 0.0

***

! Rb3Li2GaF9 | Alexandria via LeMat-Bulk | GGA-PBE | relaxed; values from VASP
&SYSTEM
  ibrav = 0, nat = 15, ntyp = 4
/
ATOMIC_SPECIES
Rb 85.47 Rb.upf
Li 6.94 Li.upf
Ga 69.72 Ga.upf
F 19.00 F.upf
CELL_PARAMETERS angstrom
5.8471 0.0000 0.0000
-2.9235 5.0637 0.0000
0.0000 0.0000 7.3103
ATOMIC_POSITIONS crystal
Rb 0.3333 0.6667 0.6738
Rb 0.0000 0.0000 0.0000
Rb 0.6667 0.3333 0.3262
Li 0.3333 0.6667 0.1713
Li 0.6667 0.3333 0.8287
Ga 0.0000 0.0000 0.5000
F 0.8436 0.1564 0.6532
F 0.8436 0.6872 0.6532
F 0.3128 0.1564 0.6532
F 0.6872 0.8436 0.3468
F 0.1564 0.3128 0.3468
F 0.1564 0.8436 0.3468
F 0.5000 0.0000 0.0000
F 0.0000 0.5000 0.0000
F 0.5000 0.5000 0.0000
! E_form (uncorrected) in eV/atom: -2.629
! Spin magnetization in μB per formula unit: 1.1

***

! Rb2LiGaF6 | Alexandria via LeMat-Bulk | GGA-PBE | relaxed; values from VASP
&SYSTEM
  ibrav = 0, nat = 10, ntyp = 4
/
ATOMIC_SPECIES
Li 6.94 Li.upf
Ga 69.72 Ga.upf
Rb 85.47 Rb.upf
F 19.00 F.upf
CELL_PARAMETERS angstrom
5.8771 0.0000 0.0000
2.9385 5.0897 0.0000
2.9385 1.6966 4.7986
ATOMIC_POSITIONS crystal
Li 0.0000 0.0000 0.0000
Ga 0.5000 0.5000 0.5000
Rb 0.2500 0.2500 0.2500
Rb 0.7500 0.7500 0.7500
F 0.2658 0.7342 0.7342
F 0.7342 0.2658 0.7342
F 0.2658 0.7342 0.2658
F 0.2658 0.2658 0.7342
F 0.7342 0.7342 0.2658
F 0.7342 0.2658 0.2658
! E_form (uncorrected) in eV/atom: -2.826
! Spin magnetization in μB per formula unit: 0.0

***

! LiGa2RhF | Alexandria via LeMat-Bulk | GGA-PBE | relaxed; values from VASP
&SYSTEM
  ibrav = 0, nat = 5, ntyp = 4
/
ATOMIC_SPECIES
Li 6.94 Li.upf
Rh 102.91 Rh.upf
Ga 69.72 Ga.upf
F 19.00 F.upf
CELL_PARAMETERS angstrom
4.7854 0.0000 0.0000
0.0000 4.3960 0.0000
0.0000 0.0000 4.7854
ATOMIC_POSITIONS crystal
Li 0.5000 0.5000 0.5000
Rh 0.0000 0.0000 0.0000
Ga 0.0000 0.0000 0.5000
Ga 0.5000 0.0000 0.0000
F 0.0000 0.5000 0.0000
! E_form (uncorrected) in eV/atom: -0.440
! Spin magnetization in μB per formula unit: 0.0

***

! Li2GaSiF | Alexandria via LeMat-Bulk | GGA-PBE | relaxed; values from VASP
&SYSTEM
  ibrav = 0, nat = 5, ntyp = 4
/
ATOMIC_SPECIES
Si 28.09 Si.upf
Li 6.94 Li.upf
Ga 69.72 Ga.upf
F 19.00 F.upf
CELL_PARAMETERS angstrom
-0.8382 -2.9622 -3.9625
4.4790 -0.4951 -0.5774
-0.0553 -4.0131 3.0118
ATOMIC_POSITIONS crystal
Si 0.0000 0.0000 0.0000
Li 0.0000 0.0000 0.5000
Li 0.5000 0.0000 0.0000
Ga 0.0000 0.5000 0.0000
F 0.5000 0.5000 0.5000
! E_form (uncorrected) in eV/atom: -0.343
! Spin magnetization in μB per formula unit: 0.0

***

! Li2GaSnF8 | Alexandria via LeMat-Bulk | GGA-PBE | relaxed; values from VASP
&SYSTEM
  ibrav = 0, nat = 12, ntyp = 4
/
ATOMIC_SPECIES
Li 6.94 Li.upf
Ga 69.72 Ga.upf
Sn 118.71 Sn.upf
F 19.00 F.upf
CELL_PARAMETERS angstrom
4.7451 -0.0691 -0.0027
-0.0439 4.7415 -0.0052
0.0040 0.0071 6.5564
ATOMIC_POSITIONS crystal
Li 0.5000 0.4999 0.7695
Li 0.5000 0.5001 0.2305
Ga 0.0000 0.0000 0.0000
Sn 0.0000 0.0000 0.5000
F 0.1935 0.8052 0.2238
F 0.7158 0.7167 0.0000
F 0.8064 0.1948 0.2238
F 0.8065 0.1948 0.7762
F 0.2842 0.2833 0.0000
F 0.1936 0.8052 0.7762
F 0.6845 0.6855 0.5000
F 0.3155 0.3145 0.5000
! E_form (uncorrected) in eV/atom: -2.590
! Spin magnetization in μB per formula unit: 0.0

***

! SrLiGaF6 | Alexandria via LeMat-Bulk | GGA-PBE | relaxed; values from VASP
&SYSTEM
  ibrav = 0, nat = 18, ntyp = 4
/
ATOMIC_SPECIES
Sr 87.62 Sr.upf
Li 6.94 Li.upf
Ga 69.72 Ga.upf
F 19.00 F.upf
CELL_PARAMETERS angstrom
5.2425 0.0000 0.0000
-2.6213 4.5402 0.0000
0.0000 0.0000 10.4621
ATOMIC_POSITIONS crystal
Sr 0.0000 0.0000 0.5000
Sr 0.0000 0.0000 0.0000
Li 0.3333 0.6667 0.7500
Li 0.6667 0.3333 0.2500
Ga 0.6667 0.3333 0.7500
Ga 0.3333 0.6667 0.2500
F 0.6412 0.0192 0.6454
F 0.3588 0.9808 0.3546
F 0.9808 0.6220 0.6454
F 0.6412 0.6220 0.8546
F 0.0192 0.3780 0.3546
F 0.3588 0.3780 0.1454
F 0.3780 0.3588 0.6454
F 0.9808 0.3588 0.8546
F 0.6220 0.6412 0.3546
F 0.0192 0.6412 0.1454
F 0.3780 0.0192 0.8546
F 0.6220 0.9808 0.1454
! E_form (uncorrected) in eV/atom: -3.189
! Spin magnetization in μB per formula unit: 0.0

***

! SrLi2GaF8 | Alexandria via LeMat-Bulk | GGA-PBE | relaxed; values from VASP
&SYSTEM
  ibrav = 0, nat = 12, ntyp = 4
/
ATOMIC_SPECIES
Sr 87.62 Sr.upf
Li 6.94 Li.upf
Ga 69.72 Ga.upf
F 19.00 F.upf
CELL_PARAMETERS angstrom
4.6480 0.0389 -0.0204
0.0842 4.6846 0.1372
-0.0260 0.2241 7.0977
ATOMIC_POSITIONS crystal
Sr 0.0000 0.0000 0.5000
Li 0.5142 0.5189 0.8113
Li 0.4858 0.4811 0.1887
Ga 0.0000 0.0000 0.0000
F 0.1753 0.7737 0.2129
F 0.6910 0.7394 0.0054
F 0.8279 0.2148 0.1952
F 0.8247 0.2263 0.7871
F 0.3090 0.2606 0.9946
F 0.1721 0.7852 0.8048
F 0.5571 0.7039 0.5393
F 0.4429 0.2961 0.4607
! E_form (uncorrected) in eV/atom: -2.798
! Spin magnetization in μB per formula unit: 1.1

***

! SrLi2GaF | Alexandria via LeMat-Bulk | GGA-PBE | relaxed; values from VASP
&SYSTEM
  ibrav = 0, nat = 5, ntyp = 4
/
ATOMIC_SPECIES
Sr 87.62 Sr.upf
Li 6.94 Li.upf
Ga 69.72 Ga.upf
F 19.00 F.upf
CELL_PARAMETERS angstrom
-2.2254 2.2454 -3.2257
2.6884 -1.8343 -3.1316
-3.1955 -3.8599 -0.4824
ATOMIC_POSITIONS crystal
Sr 0.0000 0.0000 0.5000
Li 0.0000 0.5000 0.0000
Li 0.5000 0.0000 0.0000
Ga 0.5000 0.5000 0.5000
F 0.0000 0.0000 0.0000
! E_form (uncorrected) in eV/atom: -1.137
! Spin magnetization in μB per formula unit: 0.0

***

! SrLiGaF6 | Alexandria via LeMat-Bulk | GGA-PBE | relaxed; values from VASP
&SYSTEM
  ibrav = 0, nat = 9, ntyp = 4
/
ATOMIC_SPECIES
Sr 87.62 Sr.upf
Li 6.94 Li.upf
Ga 69.72 Ga.upf
F 19.00 F.upf
CELL_PARAMETERS angstrom
5.2263 0.0000 0.0000
0.0000 5.2433 0.0000
0.0000 -2.6216 4.5408
ATOMIC_POSITIONS crystal
Sr 0.0000 0.3333 0.6667
Li 0.5000 0.6667 0.3333
Ga 0.5000 0.0000 0.0000
F 0.7092 0.7114 0.6856
F 0.7092 0.3144 0.0257
F 0.7092 0.9743 0.2886
F 0.2908 0.3144 0.2886
F 0.2908 0.7114 0.0257
F 0.2908 0.9743 0.6856
! E_form (uncorrected) in eV/atom: -3.189
! Spin magnetization in μB per formula unit: 0.0

***

! Li2GaTcF | Alexandria via LeMat-Bulk | GGA-PBE | relaxed; values from VASP
&SYSTEM
  ibrav = 0, nat = 5, ntyp = 4
/
ATOMIC_SPECIES
Li 6.94 Li.upf
Tc 98.00 Tc.upf
Ga 69.72 Ga.upf
F 19.00 F.upf
CELL_PARAMETERS angstrom
5.2005 0.0000 0.0000
0.0000 4.8138 0.0000
0.0000 0.0000 5.2005
ATOMIC_POSITIONS crystal
Li 0.0000 0.0000 0.5000
Li 0.5000 0.0000 0.0000
Tc 0.0000 0.0000 0.0000
Ga 0.0000 0.5000 0.0000
F 0.5000 0.5000 0.5000
! E_form (uncorrected) in eV/atom: 0.434
! Spin magnetization in μB per formula unit: 2.2

***

! LiTiGaF6 | Alexandria via LeMat-Bulk | GGA-PBE | relaxed; values from VASP
&SYSTEM
  ibrav = 0, nat = 9, ntyp = 4
/
ATOMIC_SPECIES
Li 6.94 Li.upf
Ti 47.87 Ti.upf
Ga 69.72 Ga.upf
F 19.00 F.upf
CELL_PARAMETERS angstrom
-2.1555 0.2127 -4.8444
0.7457 -3.9934 -3.4143
-4.5472 -2.4851 1.9141
ATOMIC_POSITIONS crystal
Li 0.6666 0.6667 0.5000
Ti 0.3333 0.3333 0.5000
Ga 0.0000 0.0000 0.0000
F 0.0237 0.3658 0.3053
F 0.3658 0.0237 0.6947
F 0.6105 0.3658 0.6947
F 0.0237 0.6106 0.6947
F 0.3658 0.6105 0.3052
F 0.6105 0.0237 0.3052
! E_form (uncorrected) in eV/atom: -2.938
! Spin magnetization in μB per formula unit: 0.0

***

! Li2Tl3GaF9 | Alexandria via LeMat-Bulk | GGA-PBE | relaxed; values from VASP
&SYSTEM
  ibrav = 0, nat = 15, ntyp = 4
/
ATOMIC_SPECIES
Li 6.94 Li.upf
Tl 204.38 Tl.upf
Ga 69.72 Ga.upf
F 19.00 F.upf
CELL_PARAMETERS angstrom
-3.1986 1.8188 4.4647
-2.4078 -3.2151 -4.1638
1.6718 -5.9337 3.6150
ATOMIC_POSITIONS crystal
Li 0.3333 0.6667 0.1696
Li 0.6667 0.3333 0.8304
Tl 0.3333 0.6667 0.7190
Tl 0.0000 0.0000 0.0000
Tl 0.6667 0.3333 0.2810
Ga 0.0000 0.0000 0.5000
F 0.8421 0.1579 0.6559
F 0.8421 0.6842 0.6559
F 0.3158 0.1579 0.6559
F 0.6842 0.8421 0.3441
F 0.1579 0.3158 0.3441
F 0.1579 0.8421 0.3441
F 0.5000 0.0000 0.0000
F 0.0000 0.5000 0.0000
F 0.5000 0.5000 0.0000
! E_form (uncorrected) in eV/atom: -2.291
! Spin magnetization in μB per formula unit: 0.0

***

! LiTlGaF6 | Alexandria via LeMat-Bulk | GGA-PBE | relaxed; values from VASP
&SYSTEM
  ibrav = 0, nat = 18, ntyp = 4
/
ATOMIC_SPECIES
Li 6.94 Li.upf
Tl 204.38 Tl.upf
Ga 69.72 Ga.upf
F 19.00 F.upf
CELL_PARAMETERS angstrom
-2.3680 -3.3354 -3.9183
3.9328 -2.0924 3.4987
-6.2385 -2.2371 5.6746
ATOMIC_POSITIONS crystal
Li 0.0000 0.0000 0.0000
Li 0.0000 0.0000 0.5000
Tl 0.3333 0.6667 0.2500
Tl 0.6667 0.3333 0.7500
Ga 0.6667 0.3333 0.2500
Ga 0.3333 0.6667 0.7500
F 0.6941 0.6286 0.1244
F 0.9345 0.3059 0.1244
F 0.3059 0.9345 0.6244
F 0.0655 0.6941 0.8756
F 0.3714 0.3059 0.3756
F 0.9345 0.6286 0.3756
F 0.6286 0.9345 0.8756
F 0.6941 0.0655 0.3756
F 0.0655 0.3714 0.6244
F 0.3714 0.0655 0.1244
F 0.6286 0.6941 0.6244
F 0.3059 0.3714 0.8756
! E_form (uncorrected) in eV/atom: -2.323
! Spin magnetization in μB per formula unit: 0.3

***

! LiTl2GaF6 | Alexandria via LeMat-Bulk | GGA-PBE | relaxed; values from VASP
&SYSTEM
  ibrav = 0, nat = 10, ntyp = 4
/
ATOMIC_SPECIES
Li 6.94 Li.upf
Tl 204.38 Tl.upf
Ga 69.72 Ga.upf
F 19.00 F.upf
CELL_PARAMETERS angstrom
-3.8662 1.3086 -3.1419
1.5465 -4.4606 -3.7609
-3.9571 -1.0313 4.4398
ATOMIC_POSITIONS crystal
Li 0.5000 0.0000 0.0000
Tl 0.2558 0.3333 0.6667
Tl 0.7442 0.6667 0.3333
Ga 0.0000 0.0000 0.0000
F 0.7700 0.1455 0.2909
F 0.7700 0.1455 0.8545
F 0.7700 0.7091 0.8545
F 0.2300 0.8545 0.1455
F 0.2300 0.2909 0.1455
F 0.2300 0.8545 0.7091
! E_form (uncorrected) in eV/atom: -2.387
! Spin magnetization in μB per formula unit: 0.0

***

! LiTl2GaF6 | Alexandria via LeMat-Bulk | GGA-PBE | relaxed; values from VASP
&SYSTEM
  ibrav = 0, nat = 10, ntyp = 4
/
ATOMIC_SPECIES
Li 6.94 Li.upf
Tl 204.38 Tl.upf
Ga 69.72 Ga.upf
F 19.00 F.upf
CELL_PARAMETERS angstrom
5.9119 0.0000 0.0000
2.9560 5.1199 0.0000
2.9560 1.7066 4.8271
ATOMIC_POSITIONS crystal
Li 0.0000 0.0000 0.0000
Tl 0.2500 0.2500 0.2500
Tl 0.7500 0.7500 0.7500
Ga 0.5000 0.5000 0.5000
F 0.2668 0.7332 0.7332
F 0.2668 0.7332 0.2668
F 0.7332 0.2668 0.7332
F 0.7332 0.7332 0.2668
F 0.2668 0.2668 0.7332
F 0.7332 0.2668 0.2668
! E_form (uncorrected) in eV/atom: -2.394
! Spin magnetization in μB per formula unit: 0.0